# 1
Entry from the Alexandria database: a relaxed TaAs2Pb crystal (PBE). Values from VASP.

Properties
As for the symmetry: Cmmm, No. 65. The value obtained for the volume is 20.28 Å³ per atom. The calculation puts the formation energy at 160 kJ/mol of formula units. As for the total energy: -23.21 eV/cell.

Quantum ESPRESSO input file:
```
&SYSTEM
  ibrav = 0, nat = 4, ntyp = 3
/
ATOMIC_SPECIES
Ta 180.95 Ta.upf
As 74.92 As.upf
Pb 207.20 Pb.upf
CELL_PARAMETERS angstrom
3.060 -3.807 0.000
3.060 3.807 0.000
0.000 0.000 3.483
ATOMIC_POSITIONS angstrom
Ta 0.000 0.000 0.000
As 1.530 1.903 1.742
As 1.530 -1.903 1.742
Pb 3.060 0.000 0.000
```


# 2
Entry from the Alexandria database: a relaxed Tb3AsPb crystal (PBE). Values from VASP.

Properties
As for the symmetry: Pnma, No. 62. The value obtained for the volume is 28.23 Å³ per atom. The calculation puts the formation energy at -409 kJ/mol of formula units. As for the total energy: -105.94 eV/cell.

Quantum ESPRESSO input file:
```
&SYSTEM
  ibrav = 0, nat = 20, ntyp = 3
/
ATOMIC_SPECIES
Tb 158.93 Tb.upf
As 74.92 As.upf
Pb 207.20 Pb.upf
CELL_PARAMETERS angstrom
8.535 0.000 0.000
0.000 4.332 0.000
0.000 0.000 15.267
ATOMIC_POSITIONS angstrom
Tb 0.158 1.083 1.630
Tb 1.310 1.083 8.075
Tb 1.499 3.249 4.285
Tb 2.768 1.083 11.919
Tb 2.957 3.249 0.441
Tb 4.109 3.249 9.264
Tb 4.425 1.083 6.003
Tb 5.578 1.083 14.826
Tb 5.766 3.249 3.348
Tb 7.036 1.083 10.982
Tb 7.224 3.249 7.193
Tb 8.377 3.249 13.637
As 1.596 1.083 14.422
As 2.672 3.249 6.789
As 5.863 1.083 8.478
As 6.939 3.249 0.845
Pb 0.854 3.249 10.443
Pb 3.413 1.083 2.809
Pb 5.121 3.249 12.458
Pb 7.681 1.083 4.824
```


# 3
Entry from the Alexandria database: a relaxed Tb4Te2AsPb crystal (PBE). Values from VASP.

Properties
As for the symmetry: P2/m, No. 10. For the uncorrected formation energy, the calculation gives -28.106 kcal/mol of atoms. The value obtained for the volume is 29.10 Å³ per atom. As for the total energy: -42.91 eV/cell.

Quantum ESPRESSO input file:
```
&SYSTEM
  ibrav = 0, nat = 8, ntyp = 4
/
ATOMIC_SPECIES
Tb 158.93 Tb.upf
Te 127.60 Te.upf
As 74.92 As.upf
Pb 207.20 Pb.upf
CELL_PARAMETERS angstrom
7.526 0.000 0.000
0.000 4.335 0.000
-2.492 0.000 7.134
ATOMIC_POSITIONS angstrom
Tb 1.192 0.000 1.613
Tb -0.058 2.168 5.463
Tb 5.092 2.168 1.672
Tb 3.842 0.000 5.521
Te -1.246 0.000 3.567
Te 2.517 2.168 3.567
As 0.000 2.168 0.000
Pb 3.763 0.000 0.000
```


# 4
Entry from the Alexandria database: a relaxed TcAs2Pb crystal (PBE). Values from VASP.

Properties
As for the symmetry: P4/mmm, No. 123. The value obtained for the volume is 20.20 Å³ per atom. The calculation puts the formation energy at -15 kJ/mol of formula units. As for the total energy: -23.53 eV/cell.

Quantum ESPRESSO input file:
```
&SYSTEM
  ibrav = 0, nat = 4, ntyp = 3
/
ATOMIC_SPECIES
Tc 98.00 Tc.upf
As 74.92 As.upf
Pb 207.20 Pb.upf
CELL_PARAMETERS angstrom
3.134 0.000 0.000
0.000 3.134 0.000
0.000 0.000 8.229
ATOMIC_POSITIONS angstrom
Tc 0.000 0.000 0.000
As 1.567 1.567 1.470
As 1.567 1.567 6.759
Pb 0.000 0.000 4.114
```